VASP calculation (GGA-PBEsol) on a relaxed ScIrRh2 crystal.

a = 3.9026 Å, b = 3.9026 Å, c = 4.7388 Å
α = 114.32°, β = 114.32°, γ = 90.00°
With the nearest neighbours (Å) after each atom.
Positions (direct):
Sc 0.5000 0.5000 0.0000  8 Rh 2.74, 4 Ir 2.76
Ir 0.0000 0.0000 0.0000  8 Rh 2.74, 4 Sc 2.76
Rh 0.2500 0.7500 0.5000  4 Ir 2.74, 4 Sc 2.74, 4 Rh 2.76
Rh 0.7500 0.2500 0.5000  4 Ir 2.74, 4 Sc 2.74, 4 Rh 2.76

Calculated values
ρ, g cm⁻³: 12.54
E_form, eV per atom: -0.5079
Symmetry: I4/mmm, No. 139